(1)
DFT (GGA-PBE) results for an optimized crystal structure of HfHg3Bi.

a b c (Å): 5.4803 5.4803 5.4803
angles (deg): 90.00 90.00 90.00
Fractional coordinates of all 5 atoms:
Hf: 0.0000 0.0000 0.0000
Hg: 0.0000 0.0000 0.5000
Hg: 0.0000 0.5000 0.0000
Hg: 0.5000 0.0000 0.0000
Bi: 0.5000 0.5000 0.5000

The energy above the most stable polymorph in this dataset is 0.000 eV per formula unit. The value obtained for the density of states at the Fermi level is 0.8045 states/eV/atom. As for the energy of formation from the pure elements: 0.597 eV per atom. The value obtained for the magnetization is 0.0 μB/f.u. The calculation puts the total energy at -11.75 eV/f.u.

***

(2)
DFT (GGA-PBE) results for an optimized crystal structure of Nb5O12F.

a b c (Å): 17.9939 3.8649 6.5666
angles (deg): 90.00 90.00 90.00
Fractional coordinates of all 36 atoms:
Nb: 0.0642 0.0000 0.1897
Nb: 0.1432 0.0000 0.7131
Nb: 0.2500 0.0000 0.2518
Nb: 0.3568 0.0000 0.7131
Nb: 0.4358 0.0000 0.1897
Nb: 0.5642 0.0000 0.8103
Nb: 0.6432 0.0000 0.2869
Nb: 0.7500 0.0000 0.7482
Nb: 0.8568 0.0000 0.2869
Nb: 0.9358 0.0000 0.8103
O: 0.0482 0.0000 0.8814
O: 0.0590 0.5000 0.2183
O: 0.1299 0.5000 0.7009
O: 0.1464 0.0000 0.4071
O: 0.1706 0.0000 0.0368
O: 0.2500 0.0000 0.6972
O: 0.2500 0.5000 0.3007
O: 0.3294 0.0000 0.0368
O: 0.3536 0.0000 0.4071
O: 0.3701 0.5000 0.7009
O: 0.4410 0.5000 0.2183
O: 0.4518 0.0000 0.8814
O: 0.5482 0.0000 0.1186
O: 0.5590 0.5000 0.7817
O: 0.6299 0.5000 0.2991
O: 0.6464 0.0000 0.5929
O: 0.6706 0.0000 0.9632
O: 0.7500 0.0000 0.3028
O: 0.7500 0.5000 0.6993
O: 0.8294 0.0000 0.9632
O: 0.8536 0.0000 0.5929
O: 0.8701 0.5000 0.2991
O: 0.9410 0.5000 0.7817
O: 0.9518 0.0000 0.1186
F: 0.0000 0.0000 0.5000
F: 0.5000 0.0000 0.5000

The value obtained for the density of states at the Fermi level is 0.0000 states/eV/atom. The value obtained for the magnetization is 0.0 μB/f.u. The calculation puts the total energy at -157.54 eV/f.u.